No. 1
The following is a PBE-GGA calculation of a relaxed Sc2GaNiRu crystal, from Alexandria via LeMat-Bulk.

Geometry as extended XYZ:
```
5
Lattice="4.743 0.000 0.000 0.000 4.743 0.000 0.000 0.000 4.460" Properties=species:S:1:pos:R:3 pbc="T T T"
Sc 0.000 2.372 0.000
Sc 2.372 0.000 0.000
Ga 0.000 0.000 2.230
Ni 2.372 2.372 0.000
Ru 2.372 2.372 2.230
```

Calculated values
Calculated volume in Å³/atom: 20.07
Total magnetic moment in μB/cell: 0.00
SG: P4/mmm
Fermi-level density of states in states/eV per atom: 0.98
ΔH_f (0 K) in eV/atom: 0.162
Raw total energy in eV/f.u.: -29.939

---

No. 2
The following is a PBE-GGA calculation of a relaxed Sm2Ga4Ni3Ru crystal, from Alexandria via LeMat-Bulk.

Geometry as extended XYZ:
```
10
Lattice="4.194 0.000 0.000 0.000 4.194 0.000 0.000 0.000 9.807" Properties=species:S:1:pos:R:3 pbc="T T T"
Sm 0.000 2.097 2.392
Sm 2.097 0.000 7.415
Ga 0.000 0.000 4.903
Ga 0.000 2.097 8.518
Ga 2.097 0.000 1.288
Ga 2.097 2.097 4.903
Ni 0.000 0.000 0.000
Ni 0.000 2.097 6.135
Ni 2.097 0.000 3.672
Ru 2.097 2.097 0.000
```

Calculated values
Calculated volume in Å³/atom: 17.25
Total magnetic moment in μB/cell: 0.00
SG: P-4m2
Fermi-level density of states in states/eV per atom: 0.63
ΔH_f (0 K) in eV/atom: -0.551
Raw total energy in eV/f.u.: -53.679

---

No. 3
The following is a PBE-GGA calculation of a relaxed SmGa5Ni2Ru crystal, from Alexandria via LeMat-Bulk.

Geometry as extended XYZ:
```
9
Lattice="4.618 0.000 0.000 0.000 4.618 0.000 0.000 0.000 7.081" Properties=species:S:1:pos:R:3 pbc="T T T"
Sm 0.000 0.000 0.000
Ga 0.000 2.309 2.180
Ga 0.000 2.309 4.900
Ga 2.309 0.000 2.180
Ga 2.309 0.000 4.900
Ga 2.309 2.309 0.000
Ni 2.309 2.309 2.304
Ni 2.309 2.309 4.776
Ru 0.000 0.000 3.540
```

Calculated values
Calculated volume in Å³/atom: 16.77
Total magnetic moment in μB/cell: 0.00
SG: P4/mmm
Fermi-level density of states in states/eV per atom: 0.45
ΔH_f (0 K) in eV/atom: -0.255
Raw total energy in eV/f.u.: -42.985

---

No. 4
The following is a PBE-GGA calculation of a relaxed Sm2Ga3Ni12Ru crystal, from Alexandria via LeMat-Bulk.

Geometry as extended XYZ:
```
18
Lattice="3.023 1.745 8.631 -3.023 1.745 8.631 0.000 -3.490 8.631" Properties=species:S:1:pos:R:3 pbc="T T T"
Sm 0.000 0.000 3.885
Sm 0.000 0.000 22.009
Ga -1.511 -0.873 8.631
Ga -1.511 0.873 17.262
Ga 0.000 1.745 8.631
Ni 0.000 -2.119 7.385
Ni -1.835 1.059 7.385
Ni -1.308 -0.755 11.114
Ni -1.835 -1.059 18.508
Ni 0.000 -1.511 14.779
Ni -1.308 0.755 14.779
Ni 1.308 -0.755 11.114
Ni 0.000 1.511 11.114
Ni 1.835 1.059 7.385
Ni 1.308 0.755 14.779
Ni 1.835 -1.059 18.508
Ni 0.000 2.119 18.508
Ru 0.000 0.000 12.947
```

Calculated values
Calculated volume in Å³/atom: 15.18
Total magnetic moment in μB/cell: 0.00
SG: R-3m
Fermi-level density of states in states/eV per atom: 1.15
ΔH_f (0 K) in eV/atom: 0.040
Raw total energy in eV/f.u.: -96.455